1:
# Zn2InRh2 PBE optimized geometry
# - D(E_F): 4.1 states/eV/cell
# - Spin magnetization: 0.0 μB per formula unit
data_Zn2InRh2
_symmetry_space_group_name_H-M 'P 4/m b m'
_symmetry_Int_Tables_number 127
_symmetry_space_group_name_Hall '-P 4 2ab'
_cell_length_a 7.152
_cell_length_b 7.152
_cell_length_c 3.023
_cell_angle_alpha 90.00
_cell_angle_beta 90.00
_cell_angle_gamma 90.00
loop_
_atom_site_label
_atom_site_type_symbol
_atom_site_fract_x
_atom_site_fract_y
_atom_site_fract_z
Zn1 Zn 0.123 0.377 0.000
In1 In 0.000 0.000 0.000
Rh1 Rh 0.174 0.674 0.500

2:
# Zn2InRh2 PBE optimized geometry
# - D(E_F): 2.9 states/eV/cell
# - Spin magnetization: 0.0 μB per formula unit
data_Zn2InRh2
_symmetry_space_group_name_H-M 'I 4/m m m'
_symmetry_Int_Tables_number 139
_symmetry_space_group_name_Hall '-I 4 2'
_cell_length_a 4.492
_cell_length_b 4.492
_cell_length_c 8.602
_cell_angle_alpha 90.00
_cell_angle_beta 90.00
_cell_angle_gamma 90.00
loop_
_atom_site_label
_atom_site_type_symbol
_atom_site_fract_x
_atom_site_fract_y
_atom_site_fract_z
Zn1 Zn 0.000 0.000 0.137
In1 In 0.000 0.000 0.500
Rh1 Rh 0.000 0.500 0.250

The data favor 1; the next most stable structure lies 286 meV/atom above it.

1:
# ZnInRh3 PBE optimized geometry
# - D(E_F): 6.8 states/eV/cell
# - Spin magnetization: 1.8 μB per formula unit
data_ZnInRh3
_symmetry_space_group_name_H-M 'P m -3 m'
_symmetry_Int_Tables_number 221
_symmetry_space_group_name_Hall '-P 4 2 3'
_cell_length_a 4.549
_cell_length_b 4.549
_cell_length_c 4.549
_cell_angle_alpha 90.00
_cell_angle_beta 90.00
_cell_angle_gamma 90.00
loop_
_atom_site_label
_atom_site_type_symbol
_atom_site_fract_x
_atom_site_fract_y
_atom_site_fract_z
Zn1 Zn 0.000 0.000 0.000
In1 In 0.500 0.500 0.500
Rh1 Rh 0.000 0.000 0.500

2:
# ZnInRh3 PBE optimized geometry
# - D(E_F): 6.3 states/eV/cell
# - Spin magnetization: 1.8 μB per formula unit
data_ZnInRh3
_symmetry_space_group_name_H-M 'P m -3 m'
_symmetry_Int_Tables_number 221
_symmetry_space_group_name_Hall '-P 4 2 3'
_cell_length_a 4.862
_cell_length_b 4.862
_cell_length_c 4.862
_cell_angle_alpha 90.00
_cell_angle_beta 90.00
_cell_angle_gamma 90.00
loop_
_atom_site_label
_atom_site_type_symbol
_atom_site_fract_x
_atom_site_fract_y
_atom_site_fract_z
Zn1 Zn 0.000 0.000 0.000
In1 In 0.500 0.500 0.500
Rh1 Rh 0.000 0.500 0.500

The data favor 1; the next most stable structure lies 630 meV/atom above it.

1:
# ZnInRh4 PBE optimized geometry
# - D(E_F): 27.5 states/eV/cell
# - Spin magnetization: 0.0 μB per formula unit
data_ZnInRh4
_symmetry_space_group_name_H-M 'F -4 3 m'
_symmetry_Int_Tables_number 216
_symmetry_space_group_name_Hall 'F -4 2 3'
_cell_length_a 7.308
_cell_length_b 7.308
_cell_length_c 7.308
_cell_angle_alpha 90.00
_cell_angle_beta 90.00
_cell_angle_gamma 90.00
loop_
_atom_site_label
_atom_site_type_symbol
_atom_site_fract_x
_atom_site_fract_y
_atom_site_fract_z
Zn1 Zn 0.000 0.000 0.000
In1 In 0.250 0.250 0.250
Rh1 Rh 0.125 0.125 0.625

2:
# ZnInRh4 PBE optimized geometry
# - D(E_F): 9.5 states/eV/cell
# - Spin magnetization: 0.0 μB per formula unit
data_ZnInRh4
_symmetry_space_group_name_H-M 'P m m m'
_symmetry_Int_Tables_number 47
_cell_length_a 2.825
_cell_length_b 4.461
_cell_length_c 7.573
_cell_angle_alpha 90.00
_cell_angle_beta 90.00
_cell_angle_gamma 90.00
loop_
_symmetry_equiv_pos_as_xyz
'x,y,z'
'-x,-y,-z'
'-x,-y,z'
'x,y,-z'
'x,-y,-z'
'-x,y,z'
'-x,y,-z'
'x,-y,z'
loop_
_atom_site_label
_atom_site_type_symbol
_atom_site_fract_x
_atom_site_fract_y
_atom_site_fract_z
Zn1 Zn 0.000 0.000 0.000
In1 In 0.500 0.500 0.500
Rh1 Rh 0.000 0.500 0.182
Rh2 Rh 0.500 0.000 0.287

The data favor 2; the next most stable structure lies 60 meV/atom above it.

1:
# ZrIn2Rh3 PBE optimized geometry
# - D(E_F): 13.1 states/eV/cell
# - Spin magnetization: 0.0 μB per formula unit
data_ZrIn2Rh3
_symmetry_space_group_name_H-M 'C m m m'
_symmetry_Int_Tables_number 65
_symmetry_space_group_name_Hall '-C 2 2'
_cell_length_a 4.687
_cell_length_b 14.083
_cell_length_c 6.282
_cell_angle_alpha 90.00
_cell_angle_beta 90.00
_cell_angle_gamma 90.00
loop_
_atom_site_label
_atom_site_type_symbol
_atom_site_fract_x
_atom_site_fract_y
_atom_site_fract_z
Zr1 Zr 0.000 0.162 0.000
In1 In 0.000 0.168 0.500
In2 In 0.000 0.500 0.000
In3 In 0.000 0.500 0.500
Rh1 Rh 0.000 0.000 0.258
Rh2 Rh 0.000 0.329 0.244

2:
# ZrIn2Rh3 PBE optimized geometry
# - D(E_F): 2.7 states/eV/cell
# - Spin magnetization: 0.0 μB per formula unit
data_ZrIn2Rh3
_symmetry_space_group_name_H-M 'P 4/m m m'
_symmetry_Int_Tables_number 123
_symmetry_space_group_name_Hall '-P 4 2'
_cell_length_a 3.334
_cell_length_b 3.334
_cell_length_c 9.363
_cell_angle_alpha 90.00
_cell_angle_beta 90.00
_cell_angle_gamma 90.00
loop_
_atom_site_label
_atom_site_type_symbol
_atom_site_fract_x
_atom_site_fract_y
_atom_site_fract_z
Zr1 Zr 0.000 0.000 0.000
In1 In 0.000 0.000 0.336
Rh1 Rh 0.500 0.500 0.163
Rh2 Rh 0.500 0.500 0.500

The data favor 1; the next most stable structure lies 29 meV/atom above it.

1:
# InRu2S PBE optimized geometry
# - D(E_F): 13.7 states/eV/cell
# - Spin magnetization: 0.0 μB per formula unit
data_InRu2S
_symmetry_space_group_name_H-M 'I -4 2 d'
_symmetry_Int_Tables_number 122
_symmetry_space_group_name_Hall 'I -4 2bw'
_cell_length_a 6.864
_cell_length_b 6.864
_cell_length_c 5.821
_cell_angle_alpha 90.00
_cell_angle_beta 90.00
_cell_angle_gamma 90.00
loop_
_atom_site_label
_atom_site_type_symbol
_atom_site_fract_x
_atom_site_fract_y
_atom_site_fract_z
In1 In 0.000 0.000 0.000
Ru1 Ru 0.164 0.750 0.625
S1 S 0.000 0.000 0.500

2:
# InRu2S PBE optimized geometry
# - D(E_F): 12.1 states/eV/cell
# - Spin magnetization: 0.0 μB per formula unit
data_InRu2S
_symmetry_space_group_name_H-M 'F m -3 m'
_symmetry_Int_Tables_number 225
_symmetry_space_group_name_Hall '-F 4 2 3'
_cell_length_a 6.284
_cell_length_b 6.284
_cell_length_c 6.284
_cell_angle_alpha 90.00
_cell_angle_beta 90.00
_cell_angle_gamma 90.00
loop_
_atom_site_label
_atom_site_type_symbol
_atom_site_fract_x
_atom_site_fract_y
_atom_site_fract_z
In1 In 0.000 0.000 0.000
Ru1 Ru 0.250 0.250 0.250
S1 S 0.000 0.000 0.500

The data favor 1; the next most stable structure lies 301 meV/atom above it.

1:
# InSb3Ru PBE optimized geometry
# - D(E_F): 5.6 states/eV/cell
# - Spin magnetization: 0.0 μB per formula unit
data_InSb3Ru
_symmetry_space_group_name_H-M 'P m -3 m'
_symmetry_Int_Tables_number 221
_symmetry_space_group_name_Hall '-P 4 2 3'
_cell_length_a 5.189
_cell_length_b 5.189
_cell_length_c 5.189
_cell_angle_alpha 90.00
_cell_angle_beta 90.00
_cell_angle_gamma 90.00
loop_
_atom_site_label
_atom_site_type_symbol
_atom_site_fract_x
_atom_site_fract_y
_atom_site_fract_z
In1 In 0.000 0.000 0.000
Sb1 Sb 0.000 0.500 0.500
Ru1 Ru 0.500 0.500 0.500

2:
# InSb3Ru PBE optimized geometry
# - D(E_F): 6.1 states/eV/cell
# - Spin magnetization: 2.1 μB per formula unit
data_InSb3Ru
_symmetry_space_group_name_H-M 'P m -3 m'
_symmetry_Int_Tables_number 221
_symmetry_space_group_name_Hall '-P 4 2 3'
_cell_length_a 5.497
_cell_length_b 5.497
_cell_length_c 5.497
_cell_angle_alpha 90.00
_cell_angle_beta 90.00
_cell_angle_gamma 90.00
loop_
_atom_site_label
_atom_site_type_symbol
_atom_site_fract_x
_atom_site_fract_y
_atom_site_fract_z
In1 In 0.000 0.000 0.000
Sb1 Sb 0.000 0.000 0.500
Ru1 Ru 0.500 0.500 0.500

The data favor 1; the next most stable structure lies 1202 meV/atom above it.

1:
# InSb2Ru2 PBE optimized geometry
# - D(E_F): 5.2 states/eV/cell
# - Spin magnetization: 0.0 μB per formula unit
data_InSb2Ru2
_symmetry_space_group_name_H-M 'P 4/m b m'
_symmetry_Int_Tables_number 127
_symmetry_space_group_name_Hall '-P 4 2ab'
_cell_length_a 7.845
_cell_length_b 7.845
_cell_length_c 3.147
_cell_angle_alpha 90.00
_cell_angle_beta 90.00
_cell_angle_gamma 90.00
loop_
_atom_site_label
_atom_site_type_symbol
_atom_site_fract_x
_atom_site_fract_y
_atom_site_fract_z
In1 In 0.000 0.000 0.000
Sb1 Sb 0.149 0.351 0.500
Ru1 Ru 0.141 0.641 0.000

2:
# InSb2Ru2 PBE optimized geometry
# - D(E_F): 7.4 states/eV/cell
# - Spin magnetization: 0.0 μB per formula unit
data_InSb2Ru2
_symmetry_space_group_name_H-M 'I 4/m m m'
_symmetry_Int_Tables_number 139
_symmetry_space_group_name_Hall '-I 4 2'
_cell_length_a 4.239
_cell_length_b 4.239
_cell_length_c 11.860
_cell_angle_alpha 90.00
_cell_angle_beta 90.00
_cell_angle_gamma 90.00
loop_
_atom_site_label
_atom_site_type_symbol
_atom_site_fract_x
_atom_site_fract_y
_atom_site_fract_z
In1 In 0.000 0.000 0.000
Sb1 Sb 0.000 0.500 0.250
Ru1 Ru 0.000 0.000 0.383

The data favor 1; the next most stable structure lies 191 meV/atom above it.

1:
# Sc2In2Ru PBE optimized geometry
# - D(E_F): 2.9 states/eV/cell
# - Spin magnetization: 0.0 μB per formula unit
data_Sc2In2Ru
_symmetry_space_group_name_H-M 'I 4/m m m'
_symmetry_Int_Tables_number 139
_symmetry_space_group_name_Hall '-I 4 2'
_cell_length_a 3.268
_cell_length_b 3.268
_cell_length_c 19.513
_cell_angle_alpha 90.00
_cell_angle_beta 90.00
_cell_angle_gamma 90.00
loop_
_atom_site_label
_atom_site_type_symbol
_atom_site_fract_x
_atom_site_fract_y
_atom_site_fract_z
Sc1 Sc 0.000 0.000 0.079
In1 In 0.000 0.000 0.308
Ru1 Ru 0.000 0.000 0.500

2:
# Sc2In2Ru PBE optimized geometry
# - D(E_F): 8.4 states/eV/cell
# - Spin magnetization: 0.0 μB per formula unit
data_Sc2In2Ru
_symmetry_space_group_name_H-M 'P 4/m b m'
_symmetry_Int_Tables_number 127
_symmetry_space_group_name_Hall '-P 4 2ab'
_cell_length_a 7.264
_cell_length_b 7.264
_cell_length_c 3.978
_cell_angle_alpha 90.00
_cell_angle_beta 90.00
_cell_angle_gamma 90.00
loop_
_atom_site_label
_atom_site_type_symbol
_atom_site_fract_x
_atom_site_fract_y
_atom_site_fract_z
Sc1 Sc 0.171 0.329 0.000
In1 In 0.138 0.638 0.500
Ru1 Ru 0.000 0.000 0.500

The data favor 1; the next most stable structure lies 264 meV/atom above it.